Compound: Cs2MoBr4F2
Source: Alexandria
Functional: PBE with a Hubbard U
Structure: relaxed

Structure (extended XYZ):
```
9
Lattice="6.336 0.071 0.048 1.507 7.211 0.159 1.507 2.795 6.649" Properties=species:S:1:pos:R:3 pbc="T T T"
Mo 3.168 0.036 0.024
Br 3.226 2.955 4.512
Br 6.125 4.796 5.764
Br 6.125 7.122 2.344
Br 3.226 5.282 1.092
Cs 6.225 3.310 2.252
Cs 3.126 6.768 4.604
F 7.373 8.739 5.945
F 1.977 1.339 0.911
```

Summary:
symmetry	No. 12
density of states at the Fermi level	0.000	states/eV per atom
raw total energy	-3.829	eV per atom
spin magnetization	1.99	μB/f.u.